# CeMg2SnH | the Alexandria database | PBE-GGA | optimized geometry
data_CeMg2SnH
_cell_length_a 4.633
_cell_length_b 4.633
_cell_length_c 4.621
_cell_angle_alpha 90.00
_cell_angle_beta 90.00
_cell_angle_gamma 90.00
_symmetry_space_group_name_H-M 'P 1'
_symmetry_Int_Tables_number 1
loop_
_symmetry_equiv_pos_as_xyz
'x,y,z'
loop_
_atom_site_label
_atom_site_type_symbol
_atom_site_fract_x
_atom_site_fract_y
_atom_site_fract_z
Ce1 Ce 0.000 0.000 0.000
Mg1 Mg 0.000 0.500 0.500
Mg2 Mg 0.500 0.000 0.500
Sn1 Sn 0.500 0.500 0.000
H1 H 0.000 0.000 0.500
# **SG**: P4/mmm, No. 123
# **Energy**: -3.658 eV/atom
# **M_tot**: 0.572 μB/f.u.
# **Crystal system**: tetragonal